Entry 1:
VASP calculation (PBEsol) on a geometry-optimized KMg2Cl structure.

Unit cell a=6.7813 b=6.7813 c=6.7813 alpha=151.37 beta=134.62 gamma=54.54
With the nearest neighbours (Å) after each atom.
Fractional positions:
K: 0.0000 0.0000 0.0000  4 Cl 3.11, 2 K 3.35
Mg: 0.2817 0.7817 0.5000  2 Cl 3.12, 6 Mg 3.20-3.35
Mg: 0.7183 0.2183 0.5000  2 Cl 3.12, 6 Mg 3.20-3.35
Cl: 0.5000 0.5000 0.0000  4 K 3.11, 4 Mg 3.12, 2 Cl 3.35

Calculated total energy: -2.220 eV per atom
Excess energy over the best structure of this formula in the dataset: 0.0 kJ/mol of atoms
Size of the total moment: 0.00 μB per cell
Crystal system: orthorhombic
ΔE_f (raw): -576 meV/atom
Density of states at the Fermi level: 1.3 states/eV/cell

Entry 2:
VASP calculation (PBEsol) on a geometry-optimized CsSn2As2 structure.

Unit cell a=6.5992 b=6.5992 c=6.5992 alpha=133.59 beta=133.59 gamma=67.73
With the nearest neighbours (Å) after each atom.
Fractional positions:
Cs: 0.0000 0.0000 0.0000  8 As 3.78, 10 Sn 3.83-4.03
Sn: 0.3498 0.3498 0.0000  4 As 2.82
Sn: 0.6502 0.6502 0.0000  4 As 2.82
As: 0.2500 0.7500 0.5000  4 Sn 2.82
As: 0.7500 0.2500 0.5000  4 Sn 2.82

Calculated total energy: -4.130 eV per atom
Size of the total moment: 0.00 μB per cell
Crystal system: tetragonal
ΔH_f (0 K): -19 kJ per mole of atoms
Density of states at the Fermi level: 2.6 states/eV/cell

Entry 3:
VASP calculation (PBEsol) on a geometry-optimized Hf2PtAuSe structure.

Unit cell a=4.8373 b=4.8373 c=4.5474 alpha=90.00 beta=90.00 gamma=90.00
With the nearest neighbours (Å) after each atom.
Fractional positions:
Hf: 0.0000 0.5000 0.0000  2 Se 2.42
Hf: 0.5000 0.0000 0.0000  2 Se 2.42
Pt: 0.0000 0.0000 0.5000  2 Se 2.27
Au: 0.5000 0.5000 0.5000  8 Hf 3.32, 4 Pt 3.42
Se: 0.0000 0.0000 0.0000  2 Pt 2.27, 4 Hf 2.42

Calculated total energy: -6.966 eV per atom
Size of the total moment: 0.00 μB per cell
Crystal system: tetragonal
ΔE_f (raw): 183 meV/atom
Density of states at the Fermi level: 3.6 states/eV/cell

Entry 4:
VASP calculation (PBEsol) on a geometry-optimized LiCuSiBi2 structure.

Unit cell a=5.5250 b=5.5250 c=4.2929 alpha=90.00 beta=90.00 gamma=90.00
With the nearest neighbours (Å) after each atom.
Fractional positions:
Li: 0.0000 0.0000 0.0000  8 Bi 3.50, 4 Cu 3.91
Cu: 0.5000 0.5000 0.0000  2 Si 2.15
Si: 0.5000 0.5000 0.5000  2 Cu 2.15
Bi: 0.0000 0.5000 0.5000  2 Si 2.76
Bi: 0.5000 0.0000 0.5000  2 Si 2.76

Calculated total energy: -3.753 eV per atom
Size of the total moment: 0.00 μB per cell
Crystal system: tetragonal
ΔE_f (raw): 371 meV/atom
Density of states at the Fermi level: 3.0 states/eV/cell

Entry 5:
VASP calculation (PBEsol) on a geometry-optimized SiRh2N structure.

Unit cell a=4.0130 b=4.0130 c=4.0130 alpha=60.00 beta=60.00 gamma=60.00
With the nearest neighbours (Å) after each atom.
Fractional positions:
Si: 0.0000 0.0000 0.0000  8 Rh 2.46
Rh: 0.2500 0.2500 0.2500  4 Si 2.46, 4 N 2.46
Rh: 0.7500 0.7500 0.7500  4 Si 2.46, 4 N 2.46
N: 0.5000 0.5000 0.5000  8 Rh 2.46

Calculated total energy: -7.257 eV per atom
Size of the total moment: 0.81 μB per cell
Crystal system: cubic
ΔE_f (raw): 380 meV/atom
Density of states at the Fermi level: 4.8 states/eV/cell

Entry 6:
VASP calculation (PBEsol) on a geometry-optimized TlSbSeBr2 structure.

Unit cell a=5.5720 b=5.5720 c=5.3276 alpha=90.00 beta=90.00 gamma=90.00
With the nearest neighbours (Å) after each atom.
Fractional positions:
Tl: 0.0000 0.0000 0.0000  8 Br 3.85, 4 Se 3.94
Sb: 0.5000 0.5000 0.5000  2 Se 2.66, 4 Br 2.79
Se: 0.5000 0.5000 0.0000  2 Sb 2.66
Br: 0.0000 0.5000 0.5000  2 Sb 2.79
Br: 0.5000 0.0000 0.5000  2 Sb 2.79

Calculated total energy: -3.310 eV per atom
Size of the total moment: 0.00 μB per cell
Crystal system: tetragonal
ΔE_f (raw): -354 meV/atom
Density of states at the Fermi level: 0.7 states/eV/cell

Entry 7:
VASP calculation (PBEsol) on a geometry-optimized CdAsCl2 structure.

Unit cell a=8.6189 b=8.6189 c=8.6189 alpha=23.92 beta=23.92 gamma=23.92
With the nearest neighbours (Å) after each atom.
Fractional positions:
Cd: 0.0000 0.0000 0.0000  3 Cl 2.63, 3 As 2.84
As: 0.2554 0.2554 0.2554  3 Cl 2.71, 3 Cd 2.84
Cl: 0.5187 0.5187 0.5187  3 As 2.71
Cl: 0.7314 0.7314 0.7314  3 Cd 2.63

Calculated total energy: -2.785 eV per atom
Excess energy over the best structure of this formula in the dataset: 14.5 kJ/mol of atoms
Size of the total moment: 0.00 μB per cell
Crystal system: trigonal
ΔE_f (raw): -205 meV/atom
Density of states at the Fermi level: 2.0 states/eV/cell

Entry 8:
VASP calculation (PBEsol) on a geometry-optimized La2SbBr structure.

Unit cell a=5.3901 b=5.3901 c=5.3901 alpha=60.00 beta=60.00 gamma=60.00
With the nearest neighbours (Å) after each atom.
Fractional positions:
La: 0.2500 0.2500 0.2500  4 Br 3.30, 4 Sb 3.30
La: 0.7500 0.7500 0.7500  4 Br 3.30, 4 Sb 3.30
Sb: 0.0000 0.0000 0.0000  8 La 3.30
Br: 0.5000 0.5000 0.5000  8 La 3.30

Calculated total energy: -5.572 eV per atom
Size of the total moment: 0.00 μB per cell
Crystal system: cubic
ΔE_f (raw): -1292 meV/atom
Density of states at the Fermi level: 3.9 states/eV/cell

Entry 9:
VASP calculation (PBEsol) on a geometry-optimized CuAuCl2 structure.

Unit cell a=6.5835 b=6.5835 c=6.5835 alpha=148.84 beta=148.84 gamma=44.64
With the nearest neighbours (Å) after each atom.
Fractional positions:
Cu: 0.0000 0.0000 0.0000  4 Cl 2.50
Au: 0.7500 0.2500 0.5000  4 Cl 2.50
Cl: 0.2500 0.7500 0.5000  4 Au 2.50
Cl: 0.5000 0.5000 0.0000  4 Cu 2.50

Calculated total energy: -2.981 eV per atom
Excess energy over the best structure of this formula in the dataset: 0.0 kJ/mol of atoms
Size of the total moment: 0.00 μB per cell
Crystal system: tetragonal
ΔE_f (raw): 87 meV/atom
Density of states at the Fermi level: 1.1 states/eV/cell

Entry 10:
VASP calculation (PBEsol) on a geometry-optimized MnAl2Zn structure.

Unit cell a=4.7592 b=4.7592 c=4.7592 alpha=135.23 beta=135.23 gamma=65.17
With the nearest neighbours (Å) after each atom.
Fractional positions:
Mn: 0.0000 0.0000 0.0000  8 Al 2.56-2.70, 4 Zn 2.70
Al: 0.2500 0.7500 0.5000  4 Zn 2.56, 4 Mn 2.70, 4 Al 2.70
Al: 0.5000 0.5000 0.0000  4 Mn 2.56, 4 Al 2.70, 4 Zn 2.70
Zn: 0.7500 0.2500 0.5000  8 Al 2.56-2.70, 4 Mn 2.70

Calculated total energy: -5.030 eV per atom
Size of the total moment: 1.25 μB per cell
Crystal system: tetragonal
ΔH_f (0 K): -14 kJ per mole of atoms
Density of states at the Fermi level: 2.0 states/eV/cell